# 1
Compound: Eu3In5Te12
Source: the Alexandria database
Functional: GGA-PBE
Structure: optimized geometry

Geometry as POSCAR:
```
Eu3In5Te12
1.0
-9.009 9.009 9.009
9.009 -9.009 9.009
9.009 9.009 -9.009
Eu In Te
12 20 48
Direct
0.125 0.250 0.375
0.125 0.375 0.750
0.250 0.375 0.125
0.250 0.875 0.625
0.375 0.125 0.250
0.375 0.750 0.125
0.625 0.250 0.875
0.625 0.875 0.750
0.750 0.125 0.375
0.750 0.625 0.875
0.875 0.625 0.250
0.875 0.750 0.625
0.000 0.000 0.000
0.000 0.000 0.500
0.000 0.500 0.000
0.000 0.500 0.500
0.125 0.750 0.875
0.125 0.875 0.250
0.250 0.125 0.875
0.250 0.625 0.375
0.375 0.250 0.625
0.375 0.625 0.750
0.500 0.000 0.000
0.500 0.000 0.500
0.500 0.500 0.000
0.500 0.500 0.500
0.625 0.375 0.250
0.625 0.750 0.375
0.750 0.375 0.625
0.750 0.875 0.125
0.875 0.125 0.750
0.875 0.250 0.125
0.043 0.217 0.129
0.043 0.327 0.914
0.086 0.629 0.413
0.086 0.957 0.673
0.087 0.717 0.673
0.087 0.871 0.414
0.129 0.043 0.217
0.129 0.586 0.913
0.173 0.217 0.587
0.173 0.457 0.586
0.217 0.129 0.043
0.217 0.587 0.173
0.283 0.327 0.913
0.283 0.457 0.371
0.327 0.913 0.283
0.327 0.914 0.043
0.371 0.283 0.457
0.371 0.587 0.914
0.413 0.086 0.629
0.413 0.827 0.783
0.414 0.087 0.871
0.414 0.827 0.543
0.457 0.371 0.283
0.457 0.586 0.173
0.543 0.414 0.827
0.543 0.629 0.717
0.586 0.173 0.457
0.586 0.913 0.129
0.587 0.173 0.217
0.587 0.914 0.371
0.629 0.413 0.086
0.629 0.717 0.543
0.673 0.086 0.957
0.673 0.087 0.717
0.717 0.543 0.629
0.717 0.673 0.087
0.783 0.413 0.827
0.783 0.871 0.957
0.827 0.543 0.414
0.827 0.783 0.413
0.871 0.414 0.087
0.871 0.957 0.783
0.913 0.129 0.586
0.913 0.283 0.327
0.914 0.043 0.327
0.914 0.371 0.587
0.957 0.673 0.086
0.957 0.783 0.871
```

Output
For the uncorrected formation energy, the calculation gives -602 meV per atom.



# 2
Compound: MgPa3N2O6
Source: the Alexandria database
Functional: GGA-PBE
Structure: optimized geometry

Geometry as POSCAR:
```
MgPa3N2O6
1.0
5.519 -3.501 0.000
5.519 3.501 0.000
-0.002 0.000 4.753
Mg Pa N O
1 3 2 6
Direct
0.000 0.000 0.000
0.000 0.500 0.000
0.500 0.000 0.000
0.500 0.500 0.500
0.332 0.332 0.242
0.668 0.668 0.758
0.162 0.162 0.818
0.181 0.654 0.757
0.346 0.819 0.243
0.654 0.181 0.757
0.819 0.346 0.243
0.838 0.838 0.182
```

Output
For the uncorrected formation energy, the calculation gives -2643 meV per atom.



# 3
Compound: VGa3Ni4
Source: the Alexandria database
Functional: GGA-PBE
Structure: optimized geometry

Geometry as POSCAR:
```
VGa3Ni4
1.0
2.871 0.000 0.000
0.000 2.871 0.000
0.000 0.000 12.018
V Ga Ni
1 3 4
Direct
0.000 0.000 0.000
0.000 0.000 0.251
0.000 0.000 0.500
0.000 0.000 0.749
0.500 0.500 0.127
0.500 0.500 0.377
0.500 0.500 0.623
0.500 0.500 0.873
```

Output
The formation energy is -0.2939 eV per atom.



# 4
Compound: Pr14DyPb
Source: the Alexandria database
Functional: GGA-PBE
Structure: optimized geometry

Geometry as POSCAR:
```
Pr14DyPb
1.0
7.327 0.000 0.000
0.000 7.327 0.000
0.000 0.000 10.410
Pr Dy Pb
14 1 1
Direct
0.000 0.000 0.000
0.000 0.500 0.000
0.000 0.500 0.500
0.248 0.248 0.255
0.248 0.248 0.745
0.248 0.752 0.255
0.248 0.752 0.745
0.500 0.000 0.000
0.500 0.000 0.500
0.500 0.500 0.000
0.752 0.248 0.255
0.752 0.248 0.745
0.752 0.752 0.255
0.752 0.752 0.745
0.500 0.500 0.500
0.000 0.000 0.500
```

Output
The formation energy is -0.0554 eV per atom.



# 5
Compound: PmNdAg2
Source: the Alexandria database
Functional: GGA-PBE
Structure: optimized geometry

Geometry as POSCAR:
```
PmNdAg2
1.0
3.743 0.000 0.000
0.000 3.743 0.000
0.000 0.000 7.489
Pm Nd Ag
1 1 2
Direct
0.000 0.000 0.000
0.000 0.000 0.500
0.500 0.500 0.245
0.500 0.500 0.755
```

Output
The value obtained for the energy above the most stable polymorph in this dataset is 0.000 eV per atom. The formation energy is -0.2654 eV per atom.



# 6
Compound: Na3Li12Zn
Source: the Alexandria database
Functional: GGA-PBE
Structure: optimized geometry

Geometry as POSCAR:
```
Na3Li12Zn
1.0
4.617 0.000 0.000
0.000 4.617 0.000
0.000 0.000 16.634
Na Li Zn
3 12 1
Direct
0.000 0.000 0.000
0.000 0.000 0.273
0.000 0.000 0.727
0.000 0.500 0.135
0.000 0.500 0.403
0.000 0.500 0.597
0.000 0.500 0.865
0.500 0.000 0.135
0.500 0.000 0.403
0.500 0.000 0.597
0.500 0.000 0.865
0.500 0.500 0.000
0.500 0.500 0.267
0.500 0.500 0.500
0.500 0.500 0.733
0.000 0.000 0.500
```

Output
The formation energy is 0.0162 eV per atom.



# 7
Compound: LaAlO3
Source: the Alexandria database
Functional: GGA-PBE
Structure: optimized geometry

Geometry as POSCAR:
```
LaAlO3
1.0
-2.007 2.007 9.425
2.007 -2.007 9.425
2.007 2.007 -9.425
La Al O
2 2 6
Direct
0.000 0.000 0.000
0.750 0.250 0.500
0.133 0.633 0.500
0.367 0.867 0.500
0.308 0.308 0.000
0.362 0.113 0.249
0.692 0.692 0.000
0.863 0.113 0.751
0.887 0.137 0.249
0.887 0.638 0.751
```

Output
For the uncorrected formation energy, the calculation gives -1602 meV per atom.



# 8
Compound: Ca2BeCr
Source: the Alexandria database
Functional: GGA-PBE
Structure: optimized geometry

Geometry as POSCAR:
```
Ca2BeCr
1.0
2.039 1.177 7.413
-2.039 1.177 7.413
0.000 -2.354 7.413
Ca Be Cr
2 1 1
Direct
0.000 0.000 0.000
0.181 0.181 0.181
0.758 0.758 0.758
0.424 0.424 0.424
```

Output
The formation energy is 0.4008 eV per atom.



# 9
Compound: BaLi2H2
Source: the Alexandria database
Functional: GGA-PBE
Structure: optimized geometry

Geometry as POSCAR:
```
BaLi2H2
1.0
-1.939 1.939 5.831
1.939 -1.939 5.831
1.939 1.939 -5.831
Ba Li H
1 2 2
Direct
0.000 0.000 0.000
0.291 0.291 0.000
0.709 0.709 0.000
0.250 0.750 0.500
0.750 0.250 0.500
```

Output
The value obtained for the energy above the most stable polymorph in this dataset is 0.000 eV per atom.



# 10
Compound: KZn2Cu
Source: the Alexandria database
Functional: GGA-PBE
Structure: optimized geometry

Geometry as POSCAR:
```
KZn2Cu
1.0
2.990 0.000 0.000
0.000 4.061 0.000
-0.050 0.000 7.414
K Zn Cu
1 2 1
Direct
0.000 0.000 0.000
0.506 0.500 0.329
0.511 0.000 0.577
0.012 0.500 0.611
```

Output
The formation energy is 0.1641 eV per atom.



# 11
Compound: EuAl12O19
Source: the Alexandria database
Functional: GGA-PBE
Structure: optimized geometry

Geometry as POSCAR:
```
EuAl12O19
1.0
5.621 0.000 0.000
-2.811 4.868 0.000
0.000 0.000 22.242
Eu Al O
2 24 38
Direct
0.333 0.667 0.000
0.667 0.333 0.500
0.000 0.000 0.247
0.000 0.000 0.487
0.000 0.000 0.747
0.000 0.000 0.987
0.168 0.335 0.139
0.168 0.832 0.139
0.169 0.339 0.856
0.169 0.831 0.856
0.333 0.667 0.275
0.333 0.667 0.438
0.333 0.667 0.557
0.333 0.667 0.720
0.335 0.168 0.639
0.339 0.169 0.356
0.661 0.831 0.856
0.665 0.832 0.139
0.667 0.333 0.057
0.667 0.333 0.220
0.667 0.333 0.775
0.667 0.333 0.938
0.831 0.169 0.356
0.831 0.661 0.356
0.832 0.168 0.639
0.832 0.665 0.639
0.000 0.000 0.101
0.000 0.000 0.397
0.000 0.000 0.601
0.000 0.000 0.897
0.005 0.502 0.099
0.005 0.502 0.895
0.155 0.309 0.300
0.155 0.845 0.300
0.156 0.311 0.697
0.156 0.844 0.697
0.181 0.362 0.496
0.181 0.819 0.496
0.309 0.155 0.800
0.311 0.156 0.197
0.333 0.667 0.193
0.333 0.667 0.802
0.362 0.181 0.996
0.498 0.502 0.099
0.498 0.502 0.895
0.498 0.995 0.099
0.498 0.995 0.895
0.502 0.005 0.395
0.502 0.005 0.599
0.502 0.498 0.395
0.502 0.498 0.599
0.638 0.819 0.496
0.667 0.333 0.302
0.667 0.333 0.693
0.689 0.844 0.697
0.691 0.845 0.300
0.819 0.181 0.996
0.819 0.638 0.996
0.844 0.156 0.197
0.844 0.689 0.197
0.845 0.155 0.800
0.845 0.691 0.800
0.995 0.498 0.395
0.995 0.498 0.599
```

Output
For the uncorrected formation energy, the calculation gives -3015 meV per atom.



# 12
Compound: CaDyPa2As4
Source: the Alexandria database
Functional: GGA-PBE
Structure: optimized geometry

Geometry as POSCAR:
```
CaDyPa2As4
1.0
-2.911 2.911 5.857
2.911 -2.911 5.857
2.911 2.911 -5.857
Ca Dy Pa As
1 1 2 4
Direct
0.000 0.000 0.000
0.250 0.750 0.500
0.500 0.500 0.000
0.750 0.250 0.500
0.254 0.254 0.000
0.502 0.002 0.500
0.746 0.746 0.000
0.998 0.498 0.500
```

Output
The formation energy is -1.2087 eV per atom.



# 13
Compound: TaPt3Se
Source: the Alexandria database
Functional: GGA-PBE
Structure: optimized geometry

Geometry as POSCAR:
```
TaPt3Se
1.0
4.900 0.000 0.000
0.000 4.900 0.000
0.000 0.000 4.900
Ta Pt Se
1 3 1
Direct
0.000 0.000 0.000
0.000 0.000 0.500
0.000 0.500 0.000
0.500 0.000 0.000
0.500 0.500 0.500
```

Output
The value obtained for the energy above the most stable polymorph in this dataset is 0.208 eV per atom. For the uncorrected formation energy, the calculation gives 1074 meV per atom.



# 14
Compound: LiBe
Source: the Alexandria database
Functional: GGA-PBE
Structure: optimized geometry

Geometry as POSCAR:
```
LiBe
1.0
4.701 0.000 0.000
0.000 4.701 0.000
0.000 0.000 4.605
Li Be
4 4
Direct
0.176 0.176 0.000
0.324 0.676 0.500
0.676 0.324 0.500
0.824 0.824 0.000
0.160 0.160 0.500
0.340 0.660 0.000
0.660 0.340 0.000
0.840 0.840 0.500
```

Output
The value obtained for the energy above the most stable polymorph in this dataset is 0.508 eV per atom. The formation energy is 0.6377 eV per atom.



# 15
Compound: TiTeC3
Source: the Alexandria database
Functional: GGA-PBE
Structure: optimized geometry

Geometry as POSCAR:
```
TiTeC3
1.0
4.099 0.000 0.000
0.000 4.099 0.000
0.000 0.000 4.099
Ti Te C
1 1 3
Direct
0.000 0.000 0.000
0.500 0.500 0.500
0.000 0.500 0.500
0.500 0.000 0.500
0.500 0.500 0.000
```

Output
The value obtained for the energy above the most stable polymorph in this dataset is 0.568 eV per atom. For the uncorrected formation energy, the calculation gives 2557 meV per atom.



# 16
Compound: LiCuOs2
Source: the Alexandria database
Functional: GGA-PBE
Structure: optimized geometry

Geometry as POSCAR:
```
LiCuOs2
1.0
4.370 -1.326 0.000
4.370 1.326 0.000
-0.591 0.000 4.677
Li Cu Os
1 1 2
Direct
0.000 0.000 0.000
0.754 0.754 0.183
0.239 0.239 0.685
0.492 0.492 0.501
```

Output
The value obtained for the energy above the most stable polymorph in this dataset is 0.024 eV per atom. The formation energy is 0.2158 eV per atom.



# 17
Compound: Eu2ThSn
Source: the Alexandria database
Functional: GGA-PBE
Structure: optimized geometry

Geometry as POSCAR:
```
Eu2ThSn
1.0
4.896 0.000 0.000
0.000 4.896 0.000
0.000 0.000 5.195
Eu Th Sn
2 1 1
Direct
0.000 0.500 0.000
0.500 0.000 0.000
0.000 0.000 0.500
0.500 0.500 0.500
```

Output
The formation energy is -0.2688 eV per atom.



# 18
Compound: Mg2Cd13
Source: the Alexandria database
Functional: GGA-PBE
Structure: optimized geometry

Geometry as POSCAR:
```
Mg2Cd13
1.0
4.077 2.354 7.186
-4.077 2.354 7.186
0.000 -4.708 7.186
Mg Cd
2 13
Direct
0.233 0.233 0.233
0.767 0.767 0.767
0.000 0.000 0.000
0.020 0.020 0.637
0.020 0.637 0.020
0.243 0.243 0.602
0.243 0.602 0.243
0.363 0.980 0.980
0.398 0.757 0.757
0.602 0.243 0.243
0.637 0.020 0.020
0.757 0.398 0.757
0.757 0.757 0.398
0.980 0.363 0.980
0.980 0.980 0.363
```

Output
The value obtained for the energy above the most stable polymorph in this dataset is 0.132 eV per atom. The formation energy is 0.1047 eV per atom.